Record 1
DFT (meta-GGA SCAN) results for a PBEsol-optimized structure of Be4AlMo.

```
Be4AlMo
1.0
0.0000 3.1170 3.1170
3.1170 0.0000 3.1170
3.1170 3.1170 0.0000
Be Al Mo
4 1 1
Cartesian
2.3580 2.3580 2.3580
3.8760 3.8760 2.3580
3.8760 2.3580 3.8760
2.3580 3.8760 3.8760
0.0000 0.0000 0.0000
4.6755 4.6755 4.6755
```

Calculated values
The calculation puts the formation energy from the elements at -0.07 eV per atom. The volume is 10.094 A^3/atom. Its total magnetization is 0.6 Bohr magnetons per cell.

---

Record 2
DFT (meta-GGA SCAN) results for a PBEsol-optimized structure of BeAlTeMo2.

```
BeAlTeMo2
1.0
4.6919 0.0000 0.0000
0.0000 4.6919 0.0000
0.0000 0.0000 3.9141
Be Al Te Mo
1 1 1 2
Cartesian
0.0000 0.0000 0.0000
0.0000 0.0000 1.9570
2.3459 2.3459 0.0000
0.0000 2.3459 1.9570
2.3459 0.0000 1.9570
```

Calculated values
The volume is 17.233 A^3/atom. Its total magnetization is 0.0 Bohr magnetons per cell. Its formation energy from raw total energies is 1.205 eV/atom.

---

Record 3
DFT (meta-GGA SCAN) results for a PBEsol-optimized structure of BeAlN3.

```
BeAlN3
1.0
3.4314 0.0000 0.0000
0.0000 3.4314 0.0000
0.0000 0.0000 3.4314
Be Al N
1 1 3
Cartesian
0.0000 0.0000 0.0000
1.7157 1.7157 1.7157
0.0000 0.0000 1.7157
0.0000 1.7157 0.0000
1.7157 0.0000 0.0000
```

Calculated values
The volume is 8.081 A^3/atom. Its total magnetization is 2.4 Bohr magnetons per cell. Its formation energy from raw total energies is 1.098 eV/atom.

---

Record 4
DFT (meta-GGA SCAN) results for a PBEsol-optimized structure of BeAlS2N.

```
BeAlS2N
1.0
4.5080 0.0000 0.0000
0.0000 4.5080 0.0000
0.0000 0.0000 3.1694
Be Al S N
1 1 2 1
Cartesian
0.0000 0.0000 0.0000
2.2540 2.2540 1.5847
0.0000 2.2540 0.0000
2.2540 0.0000 0.0000
0.0000 0.0000 1.5847
```

Calculated values
The volume is 12.882 A^3/atom. Its total magnetization is 1.6 Bohr magnetons per cell. Its formation energy from raw total energies is 0.354 eV/atom.

---

Record 5
DFT (meta-GGA SCAN) results for a PBEsol-optimized structure of BeAlTeN2.

```
BeAlTeN2
1.0
3.6298 0.0000 0.0000
0.0000 3.6298 0.0000
0.0000 0.0000 5.2552
Be Al Te N
1 1 1 2
Cartesian
0.0000 0.0000 0.0000
1.8149 1.8149 2.6276
0.0000 0.0000 2.6276
0.0000 1.8149 0.0000
1.8149 0.0000 0.0000
```

Calculated values
The volume is 13.848 A^3/atom. Its total magnetization is 3.1 Bohr magnetons per cell. Its formation energy from raw total energies is 1.140 eV/atom.

---

Record 6
DFT (meta-GGA SCAN) results for a PBEsol-optimized structure of BeAlTeN2.

```
BeAlTeN2
1.0
3.6360 0.0000 0.0000
0.0000 3.6360 0.0000
0.0000 0.0000 5.9428
Be Al Te N
1 1 1 2
Cartesian
0.0000 0.0000 0.0000
1.8180 1.8180 2.9714
1.8180 1.8180 0.0000
0.0000 1.8180 2.9714
1.8180 0.0000 2.9714
```

Calculated values
The volume is 15.713 A^3/atom. Its total magnetization is 1.3 Bohr magnetons per cell. Its formation energy from raw total energies is 0.771 eV/atom.

---

Record 7
DFT (meta-GGA SCAN) results for a PBEsol-optimized structure of NaBe3Al2Si6O19.

```
NaBe3Al2Si6O19
1.0
9.2568 0.0000 0.0000
-4.6284 8.0167 0.0000
0.0000 0.0000 9.2233
Na Be Al Si O
2 6 4 12 38
Cartesian
0.0000 0.0000 0.0000
0.0000 0.0000 4.6116
-2.3142 4.0083 2.3058
-2.3142 4.0083 6.9174
4.6284 0.0000 2.3058
4.6284 0.0000 6.9174
2.3142 4.0083 2.3058
2.3142 4.0083 6.9174
0.0000 5.3444 2.3058
0.0000 5.3444 6.9174
4.6284 2.6722 2.3058
4.6284 2.6722 6.9174
-0.7249 3.1177 0.0000
-2.2909 5.8300 4.6116
0.7249 3.1177 4.6116
-1.5660 7.0857 0.0000
3.0625 0.9310 4.6116
2.3375 2.1867 0.0000
2.2909 5.8300 0.0000
1.5660 7.0857 4.6116
6.1944 0.9310 0.0000
3.9035 4.8990 4.6116
6.9193 2.1867 4.6116
5.3534 4.8990 0.0000
0.0000 0.0000 2.3058
0.0000 0.0000 6.9174
-0.7510 2.4754 4.6116
-2.8601 6.1285 0.0000
-0.9675 4.0096 1.3427
-0.9675 4.0096 7.8806
-1.6397 5.1740 3.2689
-1.6397 5.1740 5.9543
0.7510 2.4754 0.0000
-2.1091 7.4293 4.6116
2.5193 0.5873 0.0000
1.7683 1.8881 4.6116
0.9675 4.0096 3.2689
0.9675 4.0096 5.9543
-0.6722 6.8497 1.3427
-0.6722 6.8497 7.8806
3.9562 1.1670 3.2689
3.9562 1.1670 5.9543
2.9887 2.8427 1.3427
2.9887 2.8427 7.8806
1.6397 5.1740 1.3427
1.6397 5.1740 7.8806
0.6722 6.8497 3.2689
0.6722 6.8497 5.9543
5.3007 1.1670 1.3427
5.3007 1.1670 7.8806
3.6609 4.0070 3.2689
3.6609 4.0070 5.9543
2.8601 6.1285 4.6116
2.1091 7.4293 0.0000
6.7375 0.5873 4.6116
3.8774 5.5412 0.0000
6.2681 2.8427 3.2689
6.2681 2.8427 5.9543
5.5959 4.0070 1.3427
5.5959 4.0070 7.8806
7.4885 1.8881 0.0000
5.3794 5.5412 4.6116
```

Calculated values
The volume is 11.039 A^3/atom. Its total magnetization is 2.0 Bohr magnetons per cell. Its formation energy from raw total energies is -2.931 eV/atom.

---

Record 8
DFT (meta-GGA SCAN) results for a PBEsol-optimized structure of Na2BeAlTl.

```
Na2BeAlTl
1.0
5.7848 0.0000 0.0000
0.0000 5.7848 0.0000
0.0000 0.0000 5.0598
Na Be Al Tl
2 1 1 1
Cartesian
0.0000 2.8924 0.0000
2.8924 0.0000 0.0000
0.0000 0.0000 2.5299
2.8924 2.8924 0.0000
2.8924 2.8924 2.5299
```

Calculated values
The calculation puts the formation energy from the elements at 0.83 eV per atom. The volume is 33.864 A^3/atom. Its total magnetization is 0.0 Bohr magnetons per cell.